{
  "formula": "Tm4TlInAg2",
  "functional": "PBE",
  "state": "relaxed",
  "lattice_angstrom": [[5.1902, 0.0000, 0.0000], [2.5951, 4.4949, 0.0000], [2.5951, 1.4983, 8.4637]],
  "species": ["In", "Tm", "Tl", "Tm", "Ag", "Tm", "Tm", "Ag"],
  "frac_coords": [[0.0000, 0.0000, 0.0000], [0.3749, 0.3749, 0.8752], [0.5000, 0.5000, 0.5000], [0.8750, 0.8750, 0.3750], [0.7476, 0.7476, 0.7571], [0.1250, 0.1250, 0.6250], [0.6251, 0.6251, 0.1248], [0.2524, 0.2524, 0.2429]],
  "rho_g_cm3": 10.2,
  "total_energy_ev_per_cell": -31.61,
  "formation_energy_ev_per_fu": -2.918
}